{
  "formula": "Nb3ReTc",
  "functional": "PBE",
  "state": "relaxed",
  "ef_ev_per_atom": 1.505,
  "relative_energy_mev_per_atom": 1374.4,
  "lattice_angstrom": [[4.6999, 0.0000, 0.0000], [0.0000, 4.6999, 0.0000], [0.0000, 0.0000, 4.6999]],
  "species": ["Nb", "Nb", "Nb", "Re", "Tc"],
  "frac_coords": [[0.0000, 0.0000, 0.5000], [0.0000, 0.5000, 0.0000], [0.5000, 0.0000, 0.0000], [0.5000, 0.5000, 0.5000], [0.0000, 0.0000, 0.0000]]
}

{
  "formula": "Na3Li3In8",
  "functional": "PBE",
  "state": "relaxed",
  "ef_ev_per_atom": -0.134,
  "lattice_angstrom": [[-2.4231, 5.7403, 6.2717], [2.4231, -5.7403, 6.2717], [2.4231, 5.7403, -6.2717]],
  "species": ["Na", "Na", "Na", "Li", "Li", "Li", "In", "In", "In", "In", "In", "In", "In", "In"],
  "frac_coords": [[0.0000, 0.0000, 0.0000], [0.2851, 0.2851, 0.0000], [0.7149, 0.7149, 0.0000], [0.3396, 0.5000, 0.8396], [0.5000, 0.0000, 0.5000], [0.6604, 0.5000, 0.1604], [0.0000, 0.3706, 0.6294], [0.0000, 0.6294, 0.3706], [0.1521, 0.8648, 0.2874], [0.2587, 0.6294, 0.6294], [0.4226, 0.1352, 0.2874], [0.5774, 0.8648, 0.7126], [0.7413, 0.3706, 0.3706], [0.8479, 0.1352, 0.7126]]
}

{
  "formula": "NbTlCl2",
  "functional": "PBE",
  "state": "relaxed",
  "relative_energy_mev_per_atom": 0.0,
  "lattice_angstrom": [[1.6201, 0.9354, 11.2829], [-1.6201, 0.9354, 11.2829], [0.0000, -1.8708, 11.2829]],
  "species": ["Nb", "Tl", "Cl", "Cl"],
  "frac_coords": [[0.0000, 0.0000, 0.0000], [0.5000, 0.5000, 0.5000], [0.3852, 0.3852, 0.3852], [0.6148, 0.6148, 0.6148]]
}

{
  "formula": "KNbIn2F8",
  "functional": "PBE",
  "state": "relaxed",
  "dft_energy_ev_per_atom": -5.219,
  "lattice_angstrom": [[5.0214, 0.0000, 0.0000], [0.0000, 7.8670, 0.0000], [-0.6689, 0.0000, 6.7106]],
  "species": ["K", "Nb", "In", "In", "F", "F", "F", "F", "F", "F", "F", "F"],
  "frac_coords": [[0.0000, 0.0000, 0.0000], [0.0000, 0.5000, 0.0000], [0.5000, 0.2346, 0.5000], [0.5000, 0.7654, 0.5000], [0.1164, 0.3200, 0.8287], [0.1164, 0.6800, 0.8287], [0.3410, 0.5000, 0.1583], [0.3864, 0.0000, 0.2938], [0.6136, 0.0000, 0.7062], [0.6590, 0.5000, 0.8417], [0.8836, 0.3200, 0.1713], [0.8836, 0.6800, 0.1713]]
}

{
  "formula": "AcHgO2F",
  "functional": "PBE",
  "state": "relaxed",
  "dft_energy_ev_per_atom": -5.314,
  "lattice_angstrom": [[6.7585, 0.0000, 0.0000], [0.0000, 4.3841, 0.0000], [-0.0405, 0.0000, 7.8490]],
  "species": ["Ac", "Ac", "Hg", "Hg", "O", "O", "O", "O", "F", "F"],
  "frac_coords": [[0.2416, 0.2500, 0.4160], [0.7584, 0.7500, 0.5840], [0.2678, 0.7500, 0.9519], [0.7322, 0.2500, 0.0481], [0.0690, 0.7500, 0.3341], [0.1265, 0.7500, 0.5209], [0.8735, 0.2500, 0.4791], [0.9310, 0.2500, 0.6659], [0.4995, 0.2500, 0.6365], [0.5005, 0.7500, 0.3635]]
}

{
  "formula": "Li2PrTl",
  "functional": "PBE",
  "state": "relaxed",
  "ef_ev_per_atom": -0.076,
  "relative_energy_mev_per_atom": 183.2,
  "lattice_angstrom": [[4.7588, 0.0000, 0.0000], [0.0000, 4.7588, 0.0000], [0.0000, 0.0000, 4.4643]],
  "species": ["Li", "Li", "Pr", "Tl"],
  "frac_coords": [[0.0000, 0.5000, 0.0000], [0.5000, 0.0000, 0.0000], [0.0000, 0.0000, 0.5000], [0.5000, 0.5000, 0.5000]]
}

{
  "formula": "Cs3Hg4F12",
  "functional": "PBE",
  "state": "relaxed",
  "dft_energy_ev_per_atom": -3.219,
  "lattice_angstrom": [[-4.5977, 4.5977, 4.5977], [4.5977, -4.5977, 4.5977], [4.5977, 4.5977, -4.5977]],
  "species": ["Cs", "Cs", "Cs", "Hg", "Hg", "Hg", "Hg", "F", "F", "F", "F", "F", "F", "F", "F", "F", "F", "F", "F"],
  "frac_coords": [[0.0000, 0.5000, 0.5000], [0.5000, 0.0000, 0.5000], [0.5000, 0.5000, 0.0000], [0.0000, 0.0000, 0.5000], [0.0000, 0.5000, 0.0000], [0.5000, 0.0000, 0.0000], [0.5000, 0.5000, 0.5000], [0.0000, 0.2588, 0.7412], [0.0000, 0.7412, 0.2588], [0.2588, 0.0000, 0.7412], [0.2588, 0.2588, 0.5176], [0.2588, 0.5176, 0.2588], [0.2588, 0.7412, 0.0000], [0.4824, 0.7412, 0.7412], [0.5176, 0.2588, 0.2588], [0.7412, 0.0000, 0.2588], [0.7412, 0.2588, 0.0000], [0.7412, 0.4824, 0.7412], [0.7412, 0.7412, 0.4824]]
}

{
  "formula": "Ce9HgPb3N2",
  "functional": "PBE",
  "state": "relaxed",
  "dft_energy_ev_per_atom": -5.929,
  "lattice_angstrom": [[7.2450, 0.0000, 0.0000], [-3.6225, 6.2743, 0.0000], [0.0000, 0.0000, 9.0866]],
  "species": ["Ce", "Ce", "Ce", "Ce", "Ce", "Ce", "Ce", "Ce", "Ce", "Hg", "Pb", "Pb", "Pb", "N", "N"],
  "frac_coords": [[0.0000, 0.5000, 0.0000], [0.1840, 0.3680, 0.3044], [0.1840, 0.8160, 0.3044], [0.3680, 0.1840, 0.6956], [0.5000, 0.0000, 0.0000], [0.5000, 0.5000, 0.0000], [0.6320, 0.8160, 0.3044], [0.8160, 0.1840, 0.6956], [0.8160, 0.6320, 0.6956], [0.0000, 0.0000, 0.5000], [0.0000, 0.0000, 0.0000], [0.3333, 0.6667, 0.6699], [0.6667, 0.3333, 0.3301], [0.3333, 0.6667, 0.1377], [0.6667, 0.3333, 0.8623]]
}